Record 1
CdNCl2 | the Alexandria database | GGA-PBE | optimized geometry; magnetization = 9.0 Bohr magnetons per cell; energy relative to the elements, uncorrected = 1.9 eV/f.u.
1.0
3.9179 0.0000 0.0000
-1.9590 3.3930 0.0000
0.0000 0.0000 29.1373
Cd N Cl
3 3 6
Direct
0.0000 0.0000 0.0000
0.3333 0.6667 0.6667
0.6667 0.3333 0.3333
0.0000 0.0000 0.5000
0.3333 0.6667 0.1667
0.6667 0.3333 0.8333
0.0000 0.0000 0.3825
0.0000 0.0000 0.6175
0.3333 0.6667 0.0492
0.3333 0.6667 0.2841
0.6667 0.3333 0.7159
0.6667 0.3333 0.9508

***

Record 2
LaTlTeN2 | the Alexandria database | GGA-PBE | optimized geometry; magnetization = 1.6 Bohr magnetons per cell; energy relative to the elements, uncorrected = 4.4 eV/f.u.
1.0
4.5086 0.0000 0.0000
0.0000 4.5086 0.0000
0.0000 0.0000 5.8448
La Tl Te N
1 1 1 2
Direct
0.0000 0.0000 0.0000
0.5000 0.5000 0.5000
0.5000 0.5000 0.0000
0.0000 0.5000 0.5000
0.5000 0.0000 0.5000

***

Record 3
USbAs | the Alexandria database | GGA-PBE | optimized geometry; magnetization = 7.1 Bohr magnetons per cell; energy relative to the elements, uncorrected = -1.4 eV/f.u.
1.0
4.1395 0.0000 0.0000
0.0000 4.1395 0.0000
0.0000 0.0000 16.8606
U Sb As
4 4 4
Direct
0.0000 0.0000 0.1513
0.0000 0.0000 0.8487
0.5000 0.5000 0.3487
0.5000 0.5000 0.6513
0.0000 0.5000 0.0000
0.0000 0.5000 0.5000
0.5000 0.0000 0.0000
0.5000 0.0000 0.5000
0.0000 0.0000 0.3199
0.0000 0.0000 0.6801
0.5000 0.5000 0.1801
0.5000 0.5000 0.8199

***

Record 4
CaTh2Zn6 | the Alexandria database | GGA-PBE | optimized geometry; final energy = -2.99 eV/atom; magnetization = 0.0 Bohr magnetons per cell
1.0
7.9274 0.0000 0.0000
-3.9637 6.8653 0.0000
0.0000 0.0000 3.5691
Ca Th Zn
1 2 6
Direct
0.0000 0.0000 0.0000
0.3333 0.6667 0.0000
0.6667 0.3333 0.0000
0.0000 0.3315 0.5000
0.0000 0.6685 0.5000
0.3315 0.0000 0.5000
0.3315 0.3315 0.5000
0.6685 0.0000 0.5000
0.6685 0.6685 0.5000

***

Record 5
LiHoPd | the Alexandria database | GGA-PBE | optimized geometry; final energy = -4.32 eV/atom; magnetization = 0.0 Bohr magnetons per cell
1.0
6.5144 0.0000 0.0000
0.0000 6.5144 0.0000
0.0000 0.0000 6.5144
Li Ho Pd
4 4 4
Direct
0.0000 0.0000 0.0000
0.0000 0.5000 0.5000
0.5000 0.0000 0.5000
0.5000 0.5000 0.0000
0.0000 0.0000 0.5000
0.0000 0.5000 0.0000
0.5000 0.0000 0.0000
0.5000 0.5000 0.5000
0.2500 0.2500 0.2500
0.2500 0.7500 0.7500
0.7500 0.2500 0.7500
0.7500 0.7500 0.2500

***

Record 6
Rb2NaTl | the Alexandria database | GGA-PBE | optimized geometry; final energy = -1.34 eV/atom; magnetization = 3.6 Bohr magnetons per cell
1.0
9.3714 0.0000 0.0000
0.0000 9.3714 0.0000
0.0000 0.0000 9.3714
Rb Na Tl
8 4 4
Direct
0.2500 0.2500 0.2500
0.2500 0.2500 0.7500
0.2500 0.7500 0.2500
0.2500 0.7500 0.7500
0.7500 0.2500 0.2500
0.7500 0.2500 0.7500
0.7500 0.7500 0.2500
0.7500 0.7500 0.7500
0.0000 0.0000 0.0000
0.0000 0.5000 0.5000
0.5000 0.0000 0.5000
0.5000 0.5000 0.0000
0.0000 0.0000 0.5000
0.0000 0.5000 0.0000
0.5000 0.0000 0.0000
0.5000 0.5000 0.5000

***

| no. | theoretical density (Mg/m³) | N(E_F) (states/eV per cell) |
| --- | --- | --- |
| 1 | 2.54 | 0.0 |
| 2 | 6.97 | 2.9 |
| 3 | 9.99 | 24.3 |
| 4 | 7.66 | 8.3 |
| 5 | 6.69 | 5.1 |
| 6 | 3.21 | 23.8 |